First-principles (meta-GGA SCAN) data for SrAl2O4 at its PBEsol-relaxed geometry, as listed in the Alexandria database.

Fermi-level density of states   0.0 states/eV/cell
Final energy   -12.311 eV per atom

abc: 5.1530 5.1530 8.4857
angles: 93.25 93.25 58.95
Atoms (fractional coordinates):
Sr: 0.0127 0.0127 0.2407
Sr: 0.9873 0.9873 0.7593
Al: 0.2970 0.3683 0.0562
Al: 0.3537 0.3143 0.4474
Al: 0.6317 0.7030 0.9438
Al: 0.6857 0.6463 0.5526
O: 0.0634 0.5650 0.5729
O: 0.2138 0.4511 0.2571
O: 0.3232 0.6768 0.0000
O: 0.4350 0.9366 0.4271
O: 0.5489 0.7862 0.7429
O: 0.6371 0.0190 0.0313
O: 0.6987 0.3013 0.5000
O: 0.9810 0.3629 0.9687